(1)
# Ac4GaTe5, relaxed, DFT PBE
# Magnetic moment = 0.0 μB/f.u.
# Crystal system = trigonal
# Fermi-level density of states = 5.8 states/eV/f.u.
# Raw total energy = -4.8086 eV per atom
# Energy relative to the elements, uncorrected = -1.292 eV per atom
data_Ac4GaTe5
_cell_length_a 4.7224
_cell_length_b 4.7224
_cell_length_c 58.0344
_cell_angle_alpha 90.00
_cell_angle_beta 90.00
_cell_angle_gamma 120.00
_space_group_name_H-M_alt 'R -3 m'
_space_group_IT_number 166
_space_group_name_Hall '-R 3 2"'
loop_
_atom_site_label
_atom_site_fract_x
_atom_site_fract_y
_atom_site_fract_z
Ac1 0.0000 0.0000 0.1007
Ac2 0.0000 0.0000 0.2999
Ga1 0.0000 0.0000 0.5000
Te1 0.0000 0.0000 0.0000
Te2 0.0000 0.0000 0.1995
Te3 0.0000 0.0000 0.4004

=====

(2)
# Na2PdS, relaxed, DFT PBE
# Magnetic moment = 0.0 μB/f.u.
# Crystal system = trigonal
# Fermi-level density of states = 1.7 states/eV/f.u.
# Raw total energy = -3.0426 eV per atom
# Energy relative to the elements, uncorrected = -0.053 eV per atom
data_Na2PdS
_cell_length_a 3.1634
_cell_length_b 3.1634
_cell_length_c 28.4469
_cell_angle_alpha 90.00
_cell_angle_beta 90.00
_cell_angle_gamma 120.00
_space_group_name_H-M_alt 'R -3 m'
_space_group_IT_number 166
_space_group_name_Hall '-R 3 2"'
loop_
_atom_site_label
_atom_site_fract_x
_atom_site_fract_y
_atom_site_fract_z
Na1 0.0000 0.0000 0.0961
Pd1 0.0000 0.0000 0.0000
S1 0.0000 0.0000 0.5000

=====

(3)
# LiAl2In, relaxed, DFT PBE
# Formation energy from the elements = 0.05 eV per formula unit
# Magnetic moment = 0.0 μB/f.u.
# Crystal system = orthorhombic
# Fermi-level density of states = 1.1 states/eV/f.u.
# Raw total energy = -3.0220 eV per atom
data_LiAl2In
_cell_length_a 5.617
_cell_length_b 9.092
_cell_length_c 3.037
_cell_angle_alpha 90.00
_cell_angle_beta 90.00
_cell_angle_gamma 90.00
_space_group_name_H-M_alt 'C m m m'
_space_group_IT_number 65
_space_group_name_Hall '-C 2 2'
loop_
_atom_site_label
_atom_site_fract_x
_atom_site_fract_y
_atom_site_fract_z
Li1 0.000 0.000 0.000
Al1 0.250 0.250 0.500
In1 0.000 0.500 0.000

=====

(4)
# RbPa2ZnN5, relaxed, DFT PBE
# Magnetic moment = 0.8 μB/f.u.
# Crystal system = tetragonal
# Fermi-level density of states = 7.1 states/eV/f.u.
# Raw total energy = -7.6255 eV per atom
# Energy relative to the elements, uncorrected = -0.641 eV per atom
data_RbPa2ZnN5
_cell_length_a 6.707
_cell_length_b 6.707
_cell_length_c 11.809
_cell_angle_alpha 90.00
_cell_angle_beta 90.00
_cell_angle_gamma 90.00
_space_group_name_H-M_alt 'I 4/m c m'
_space_group_IT_number 140
_space_group_name_Hall '-I 4 2c'
loop_
_atom_site_label
_atom_site_fract_x
_atom_site_fract_y
_atom_site_fract_z
Rb1 0.000 0.000 0.250
Pa1 0.176 0.324 0.000
Zn1 0.000 0.500 0.250
N1 0.000 0.000 0.000
N2 0.138 0.362 0.385

=====

(5)
# AcCdCuAu6, relaxed, DFT PBE
# Formation energy from the elements = -1.81 eV per formula unit
# Magnetic moment = 0.0 μB/f.u.
# Crystal system = orthorhombic
# Fermi-level density of states = 3.1 states/eV/f.u.
# Raw total energy = -3.3997 eV per atom
data_AcCdCuAu6
_cell_length_a 7.561
_cell_length_b 9.369
_cell_length_c 11.152
_cell_angle_alpha 90.00
_cell_angle_beta 90.00
_cell_angle_gamma 90.00
_space_group_name_H-M_alt 'I m m a'
_space_group_IT_number 74
_space_group_name_Hall '-I 2b 2'
loop_
_atom_site_label
_atom_site_fract_x
_atom_site_fract_y
_atom_site_fract_z
Ac1 0.000 0.250 0.207
Cd1 0.250 0.250 0.750
Cu1 0.000 0.000 0.000
Au1 0.000 0.250 0.507
Au2 0.000 0.250 0.926
Au3 0.197 0.013 0.375

=====

(6)
# HfTaGaSi2, relaxed, DFT PBE
# Magnetic moment = 0.0 μB/f.u.
# Crystal system = tetragonal
# Fermi-level density of states = 5.0 states/eV/f.u.
# Raw total energy = -5.7928 eV per atom
# Energy relative to the elements, uncorrected = 1.343 eV per atom
data_HfTaGaSi2
_cell_length_a 4.831
_cell_length_b 4.831
_cell_length_c 4.891
_cell_angle_alpha 90.00
_cell_angle_beta 90.00
_cell_angle_gamma 90.00
_space_group_name_H-M_alt 'P 4/m m m'
_space_group_IT_number 123
_space_group_name_Hall '-P 4 2'
loop_
_atom_site_label
_atom_site_fract_x
_atom_site_fract_y
_atom_site_fract_z
Hf1 0.000 0.000 0.000
Ta1 0.500 0.500 0.500
Ga1 0.000 0.000 0.500
Si1 0.000 0.500 0.000

=====

Copy entry 2 word for word.
# Na2PdS, relaxed, DFT PBE
# Magnetic moment = 0.0 μB/f.u.
# Crystal system = trigonal
# Fermi-level density of states = 1.7 states/eV/f.u.
# Raw total energy = -3.0426 eV per atom
# Energy relative to the elements, uncorrected = -0.053 eV per atom
data_Na2PdS
_cell_length_a 3.1634
_cell_length_b 3.1634
_cell_length_c 28.4469
_cell_angle_alpha 90.00
_cell_angle_beta 90.00
_cell_angle_gamma 120.00
_space_group_name_H-M_alt 'R -3 m'
_space_group_IT_number 166
_space_group_name_Hall '-R 3 2"'
loop_
_atom_site_label
_atom_site_fract_x
_atom_site_fract_y
_atom_site_fract_z
Na1 0.0000 0.0000 0.0961
Pd1 0.0000 0.0000 0.0000
S1 0.0000 0.0000 0.5000

=====

Question: The highest Fermi-level density of states belongs to which entry?
Answer: RbPa2ZnN5

=====

Question: The highest raw total energy belongs to which entry?
Answer: LiAl2In